# 1
{"formula": "Ca2TlCd", "functional": "PBE", "state": "relaxed", "cell": [[3.8706, 0.0000, 0.0000], [0.0000, 3.8704, 0.0000], [0.0000, 0.0000, 7.7060]], "species": ["Cd", "Tl", "Ca", "Ca"], "frac_coords": [[0.5000, 0.5000, 0.2500], [0.5000, 0.5000, 0.7500], [0.0000, 0.0000, 0.0032], [0.0000, 0.0000, 0.4968]], "final_energy_ev_per_atom": -2.2328, "crystal_system": "tetragonal", "spacegroup": "P4/mmm, No. 123", "formation_enthalpy_0k_ev_per_atom": -0.412}



# 2
{"formula": "Ca5TlCd", "functional": "PBE", "state": "relaxed", "cell": [[6.6572, -1.0631, -0.9666], [1.1038, 6.6506, -0.9666], [1.9578, 1.4095, 10.6506]], "species": ["Cd", "Cd", "Ca", "Ca", "Ca", "Ca", "Ca", "Ca", "Ca", "Ca", "Ca", "Ca", "Tl", "Tl"], "frac_coords": [[0.5088, 0.4912, 0.2500], [0.4912, 0.5088, 0.7500], [0.3773, 0.9527, 0.3285], [0.0473, 0.6227, 0.1715], [0.7515, 0.5881, 0.4974], [0.9527, 0.3773, 0.8285], [0.1521, 0.8479, 0.7500], [0.8479, 0.1521, 0.2500], [0.2485, 0.4119, 0.5026], [0.4119, 0.2485, 0.0026], [0.5881, 0.7515, 0.9974], [0.6227, 0.0473, 0.6715], [0.0000, 0.0000, 0.5000], [0.0000, 0.0000, 0.0000]], "final_energy_ev_per_atom": -2.0516, "crystal_system": "monoclinic", "spacegroup": "C2/c, No. 15", "formation_enthalpy_0k_ev_per_atom": -0.153}



# 3
{"formula": "Ca2Tl7Cd2", "functional": "PBE", "state": "relaxed", "cell": [[-5.5805, 2.6486, -0.1966], [1.5195, -2.1516, -7.1234], [-1.1882, -7.1626, 2.2286]], "species": ["Tl", "Tl", "Tl", "Tl", "Tl", "Tl", "Tl", "Cd", "Cd", "Ca", "Ca"], "frac_coords": [[0.8018, 0.5858, 0.5858], [0.8417, 0.0993, 0.5692], [0.1583, 0.4308, 0.9006], [0.1583, 0.9006, 0.4308], [0.0000, 0.0000, 0.0000], [0.1982, 0.4142, 0.4142], [0.8417, 0.5692, 0.0993], [0.5275, 0.2434, 0.2434], [0.4725, 0.7566, 0.7566], [0.5000, 0.2040, 0.7960], [0.5000, 0.7960, 0.2040]], "final_energy_ev_per_atom": -2.1337, "crystal_system": "monoclinic", "spacegroup": "C2/m, No. 12", "formation_enthalpy_0k_ev_per_atom": -0.098}



# 4
{"formula": "CaTlCd", "functional": "PBE", "state": "relaxed", "cell": [[-3.1071, 0.5475, -3.8944], [-4.3224, -4.5479, -0.4160], [-5.5431, 2.6563, 1.5708]], "species": ["Ca", "Ca", "Tl", "Tl", "Cd", "Cd"], "frac_coords": [[0.5285, 0.2225, 0.7205], [0.4715, 0.7775, 0.2795], [0.8308, 0.6292, 0.7093], [0.1692, 0.3708, 0.2907], [0.8399, 0.1935, 0.1266], [0.1601, 0.8065, 0.8734]], "final_energy_ev_per_atom": -2.0792, "crystal_system": "monoclinic", "spacegroup": "C2/m, No. 12", "formation_enthalpy_0k_ev_per_atom": -0.318}



# 5
{"formula": "Ca2TlCd", "functional": "PBE", "state": "relaxed", "cell": [[-0.4260, 3.7042, 7.7189], [3.5217, -6.9685, 3.5384], [4.8213, -0.2282, 5.1356]], "species": ["Tl", "Tl", "Ca", "Ca", "Ca", "Ca", "Cd", "Cd"], "frac_coords": [[0.7500, 0.2500, 0.5000], [0.0000, 0.0000, 0.0000], [0.1274, 0.6250, 0.2500], [0.3750, 0.3774, 0.7500], [0.8750, 0.8726, 0.7500], [0.6226, 0.1250, 0.2500], [0.5000, 0.5000, 0.0000], [0.2500, 0.7500, 0.5000]], "final_energy_ev_per_atom": -1.9249, "crystal_system": "tetragonal", "spacegroup": "I-42d, No. 122", "formation_enthalpy_0k_ev_per_atom": -0.104}



# 6
{"formula": "Ca7Tl2Cd2", "functional": "PBE", "state": "relaxed", "cell": [[7.0694, -0.0033, -1.1374], [0.0030, 8.2570, 0.0042], [-1.5757, -0.0017, 6.9848]], "species": ["Ca", "Ca", "Ca", "Ca", "Ca", "Ca", "Ca", "Tl", "Tl", "Cd", "Cd"], "frac_coords": [[0.9998, 0.2869, 0.5003], [0.0002, 0.7131, 0.4997], [0.4997, 0.2869, 0.0002], [0.0000, 0.0000, 0.0000], [0.5002, 0.7484, 0.4998], [0.4998, 0.2516, 0.5002], [0.5003, 0.7131, 0.9998], [0.8163, 0.5000, 0.8163], [0.1837, 0.5000, 0.1837], [0.7094, 0.0000, 0.2906], [0.2906, 0.0000, 0.7094]], "final_energy_ev_per_atom": -1.9963, "crystal_system": "orthorhombic", "spacegroup": "Cmmm, No. 65", "formation_enthalpy_0k_ev_per_atom": -0.126}



# 7
{"formula": "CaTlCd6", "functional": "PBE", "state": "relaxed", "cell": [[5.9567, 0.0000, 0.0000], [0.0000, 5.9567, 0.0000], [0.0000, 0.0000, 5.9567]], "species": ["Cd", "Cd", "Cd", "Cd", "Cd", "Cd", "Tl", "Ca"], "frac_coords": [[0.0000, 0.5000, 0.7493], [0.2507, 0.0000, 0.5000], [0.0000, 0.5000, 0.2507], [0.5000, 0.2507, 0.0000], [0.7493, 0.0000, 0.5000], [0.5000, 0.7493, 0.0000], [0.0000, 0.0000, 0.0000], [0.5000, 0.5000, 0.5000]], "final_energy_ev_per_atom": -1.2564, "crystal_system": "cubic", "spacegroup": "Pm-3, No. 200", "de_polymorph_mev_per_atom": 94, "formation_enthalpy_0k_ev_per_atom": -0.024}



# 8
{"formula": "Ca4Tl2Cd3", "functional": "PBE", "state": "relaxed", "cell": [[-4.6482, 2.6699, 0.1214], [-3.3990, -0.3456, -4.1326], [-4.5075, -8.0465, 4.3760]], "species": ["Tl", "Tl", "Ca", "Ca", "Ca", "Ca", "Cd", "Cd", "Cd"], "frac_coords": [[0.6667, 0.6667, 0.2052], [0.3333, 0.3333, 0.7948], [0.6667, 0.6667, 0.8835], [0.3333, 0.3333, 0.1165], [0.0000, 0.0000, 0.6721], [0.0000, 0.0000, 0.3279], [0.0000, 0.0000, 0.0000], [0.6667, 0.6665, 0.5159], [0.3333, 0.3335, 0.4841]], "final_energy_ev_per_atom": -2.0533, "crystal_system": "trigonal", "spacegroup": "P-3m1, No. 164", "formation_enthalpy_0k_ev_per_atom": -0.333}



# 9
{"formula": "CaTlCd", "functional": "PBE", "state": "relaxed", "cell": [[-6.2188, -0.3688, 1.7454], [-4.1879, -0.4938, 4.9066], [-1.1052, 3.4918, 0.8485]], "species": ["Tl", "Ca", "Cd"], "frac_coords": [[0.6760, 0.6760, 0.3240], [0.9961, 0.9961, 0.0039], [0.3278, 0.3278, 0.6722]], "final_energy_ev_per_atom": -2.0320, "crystal_system": "tetragonal", "spacegroup": "I4mm, No. 107", "formation_enthalpy_0k_ev_per_atom": -0.271}



# 10
{"formula": "CaTl2Cd2", "functional": "PBE", "state": "relaxed", "cell": [[-1.2517, 7.2814, 4.2397], [-6.8705, -3.3632, 3.7477], [2.2256, -1.3091, 2.9053]], "species": ["Cd", "Cd", "Cd", "Cd", "Tl", "Tl", "Tl", "Tl", "Ca", "Ca"], "frac_coords": [[0.8771, 0.6229, 0.0000], [0.1229, 0.3771, 0.0000], [0.6229, 0.1229, 0.0000], [0.3771, 0.8771, 0.0000], [0.1774, 0.6774, 0.5000], [0.8226, 0.3226, 0.5000], [0.6774, 0.8226, 0.5000], [0.3226, 0.1774, 0.5000], [0.0000, 0.0000, 0.0000], [0.5000, 0.5000, 0.0000]], "final_energy_ev_per_atom": -1.8215, "crystal_system": "tetragonal", "spacegroup": "P4/mbm, No. 127", "de_polymorph_mev_per_atom": 53, "formation_enthalpy_0k_ev_per_atom": -0.109}



# 11
{"formula": "Ca2TlCd", "functional": "PBE", "state": "relaxed", "cell": [[-4.3266, -3.8778, -2.3318], [1.5646, -6.0617, 0.0492], [0.0251, 4.6446, 4.1978]], "species": ["Cd", "Tl", "Ca", "Ca"], "frac_coords": [[0.5000, 0.5000, 0.0000], [0.7500, 0.2500, 0.5000], [0.0000, 0.0000, 0.0000], [0.2500, 0.7500, 0.5000]], "final_energy_ev_per_atom": -2.0647, "crystal_system": "tetragonal", "spacegroup": "I-4m2, No. 119", "formation_enthalpy_0k_ev_per_atom": -0.244}



# 12
{"formula": "Ca4TlCd", "functional": "PBE", "state": "relaxed", "cell": [[-1.3194, -3.5620, 1.3237], [8.2930, -3.0099, 0.1665], [0.5610, 1.8569, 5.5561]], "species": ["Ca", "Ca", "Ca", "Ca", "Tl", "Cd"], "frac_coords": [[0.5000, 0.7047, 0.9998], [0.0000, 0.2048, 0.5002], [0.5000, 0.2953, 0.0002], [0.0000, 0.7952, 0.4998], [0.0000, 0.0000, 0.0000], [0.5000, 0.5000, 0.5000]], "final_energy_ev_per_atom": -2.0501, "crystal_system": "orthorhombic", "spacegroup": "Pmmm, No. 47", "de_polymorph_mev_per_atom": 0, "formation_enthalpy_0k_ev_per_atom": -0.169}